Arrangement one

Material: Li2SmZn6
Method: DFT, PBE-GGA
State: optimized geometry

Computed properties:
The density of states at the Fermi level comes out at 4.58 states/eV/f.u. The space group is P6/mmm (191).

The structure in POSCAR format:
```
Li2SmZn6
1.0
7.818 0.000 0.000
-3.909 6.771 0.000
0.000 0.000 3.134
Li Sm Zn
2 1 6
Cartesian
0.000 4.514 0.000 Li
3.909 2.257 0.000 Li
0.000 0.000 0.000 Sm
-1.339 2.319 1.567 Zn
-2.570 4.452 1.567 Zn
2.678 0.000 1.567 Zn
1.339 2.319 1.567 Zn
5.140 0.000 1.567 Zn
2.570 4.452 1.567 Zn
```

***

Arrangement two

Material: Li2SmZn6
Method: DFT, PBE-GGA
State: optimized geometry

Computed properties:
The density of states at the Fermi level comes out at 2.77 states/eV/f.u. The space group is Immm (71).

The structure in POSCAR format:
```
Li2SmZn6
1.0
-1.642 3.807 6.502
1.642 -3.807 6.502
1.642 3.807 -6.502
Li Sm Zn
2 1 6
Cartesian
0.000 0.000 1.839 Li
0.000 0.000 11.165 Li
0.000 3.807 0.000 Sm
1.642 2.397 -2.334 Zn
1.642 1.234 0.000 Zn
1.642 2.397 2.334 Zn
0.000 1.410 4.168 Zn
0.000 2.573 6.502 Zn
0.000 1.410 8.836 Zn
```

***

Which one is most stable, and which one is least stable? arrangement two is the most stable of them, while arrangement one is the least stable.

***

Arrangement one

Material: LiSmZn
Method: DFT, PBE-GGA
State: optimized geometry

Computed properties:
The density of states at the Fermi level comes out at 1.09 states/eV/f.u. The space group is I4mm (107).

The structure in POSCAR format:
```
LiSmZn
1.0
-1.854 1.854 4.806
1.854 -1.854 4.806
1.854 1.854 -4.806
Li Sm Zn
1 1 1
Cartesian
0.000 0.000 0.000 Li
0.000 0.000 2.945 Sm
0.000 0.000 6.099 Zn
```

***

Arrangement two

Material: LiSmZn
Method: DFT, PBE-GGA
State: optimized geometry

Computed properties:
The density of states at the Fermi level comes out at 2.83 states/eV/f.u. The space group is P4/nmm (129).

The structure in POSCAR format:
```
LiSmZn
1.0
3.434 0.000 0.000
0.000 3.434 0.000
0.000 0.000 11.350
Li Sm Zn
2 2 2
Cartesian
0.858 0.858 0.853 Li
2.575 2.575 10.497 Li
0.858 0.858 4.277 Sm
2.575 2.575 7.073 Sm
0.858 0.858 9.115 Zn
2.575 2.575 2.235 Zn
```

***

Arrangement three

Material: LiSmZn
Method: DFT, PBE-GGA
State: optimized geometry

Computed properties:
The density of states at the Fermi level comes out at 2.18 states/eV/f.u. The space group is P-6m2 (187).

The structure in POSCAR format:
```
LiSmZn
1.0
4.799 0.000 0.000
-2.399 4.156 0.000
0.000 0.000 3.260
Li Sm Zn
1 1 1
Cartesian
0.000 0.000 0.000 Li
2.399 1.385 1.630 Sm
0.000 2.770 0.000 Zn
```

***

Arrangement four

Material: LiSmZn
Method: DFT, PBE-GGA
State: optimized geometry

Computed properties:
The density of states at the Fermi level comes out at 2.63 states/eV/f.u. The space group is P-62m (189).

The structure in POSCAR format:
```
LiSmZn
1.0
7.040 0.000 0.000
-3.520 6.097 0.000
0.000 0.000 4.709
Li Sm Zn
3 3 3
Cartesian
-2.711 4.696 0.000 Li
0.809 1.401 0.000 Li
5.422 0.000 0.000 Li
-1.511 2.618 2.355 Sm
3.023 0.000 2.355 Sm
2.009 3.480 2.355 Sm
0.000 0.000 2.355 Zn
0.000 4.065 0.000 Zn
3.520 2.032 0.000 Zn
```

***

Which one is most stable, and which one is least stable? arrangement four is the most stable of them, while arrangement one is the least stable.

***

Arrangement one

Material: Li2SmZn9
Method: DFT, PBE-GGA
State: optimized geometry

Computed properties:
The density of states at the Fermi level comes out at 5.03 states/eV/f.u. The space group is R-3m (166).

The structure in POSCAR format:
```
Li2SmZn9
1.0
2.639 1.524 8.363
-2.639 1.524 8.363
0.000 -3.047 8.363
Li Sm Zn
2 1 9
Cartesian
0.000 0.000 3.597 Li
0.000 0.000 21.492 Li
0.000 0.000 0.000 Sm
-1.345 -0.777 10.529 Zn
0.000 0.000 8.389 Zn
0.000 -1.554 14.560 Zn
-1.345 0.777 14.560 Zn
0.000 0.000 12.545 Zn
1.345 -0.777 10.529 Zn
0.000 1.554 10.529 Zn
0.000 0.000 16.700 Zn
1.345 0.777 14.560 Zn
```

***

Arrangement two

Material: Li2SmZn9
Method: DFT, PBE-GGA
State: optimized geometry

Computed properties:
The density of states at the Fermi level comes out at 3.47 states/eV/f.u. The space group is P6/mmm (191).

The structure in POSCAR format:
```
Li2SmZn9
1.0
7.913 0.000 0.000
-3.956 6.853 0.000
0.000 0.000 3.698
Li Sm Zn
2 1 9
Cartesian
0.000 4.568 0.000 Li
3.956 2.284 0.000 Li
0.000 0.000 0.000 Sm
-1.978 3.426 0.000 Zn
0.000 2.706 1.849 Zn
-1.613 5.499 1.849 Zn
2.344 1.353 1.849 Zn
3.956 0.000 0.000 Zn
1.978 3.426 0.000 Zn
1.613 5.499 1.849 Zn
5.569 1.353 1.849 Zn
3.956 4.146 1.849 Zn
```

***

Which one is most stable, and which one is least stable? arrangement one is the most stable of them, while arrangement two is the least stable.

***

Arrangement one

Material: Li2SmZn
Method: DFT, PBE-GGA
State: optimized geometry

Computed properties:
The density of states at the Fermi level comes out at 4.44 states/eV/f.u. The space group is Fm-3m (225).

The structure in POSCAR format:
```
Li2SmZn
1.0
0.000 3.406 3.406
3.406 0.000 3.406
3.406 3.406 0.000
Li Sm Zn
2 1 1
Cartesian
1.703 1.703 1.703 Li
5.109 5.109 5.109 Li
0.000 0.000 0.000 Sm
3.406 3.406 3.406 Zn
```

***

Arrangement two

Material: Li2SmZn
Method: DFT, PBE-GGA
State: optimized geometry

Computed properties:
The density of states at the Fermi level comes out at 2.94 states/eV/f.u. The space group is P4/mmm (123).

The structure in POSCAR format:
```
Li2SmZn
1.0
3.424 0.000 0.000
0.000 3.424 0.000
0.000 0.000 7.077
Li Sm Zn
2 1 1
Cartesian
0.000 0.000 1.313 Li
0.000 0.000 5.764 Li
1.712 1.712 3.538 Sm
1.712 1.712 0.000 Zn
```

***

Which one is most stable, and which one is least stable? arrangement one is the most stable of them, while arrangement two is the least stable.

***

Arrangement one

Material: LiSm2Zr
Method: DFT, PBE-GGA
State: optimized geometry

Computed properties:
The density of states at the Fermi level comes out at 4.35 states/eV/f.u. The space group is P4/mmm (123).

The structure in POSCAR format:
```
LiSm2Zr
1.0
3.460 0.000 0.000
0.000 3.460 0.000
0.000 0.000 9.257
Li Sm Zr
1 2 1
Cartesian
0.000 0.000 0.000 Li
1.730 1.730 2.346 Sm
1.730 1.730 6.911 Sm
0.000 0.000 4.628 Zr
```

***

Arrangement two

Material: LiSm2Zr
Method: DFT, PBE-GGA
State: optimized geometry

Computed properties:
The density of states at the Fermi level comes out at 4.12 states/eV/f.u. The space group is R-3m (166).

The structure in POSCAR format:
```
LiSm2Zr
1.0
1.710 0.987 11.112
-1.710 0.987 11.112
0.000 -1.974 11.112
Li Sm Zr
1 2 1
Cartesian
0.000 0.000 0.000 Li
0.000 0.000 8.227 Sm
0.000 0.000 25.110 Sm
0.000 0.000 16.668 Zr
```

***

Arrangement three

Material: LiSm2Zr
Method: DFT, PBE-GGA
State: optimized geometry

Computed properties:
The density of states at the Fermi level comes out at 4.61 states/eV/f.u. The space group is P4/mmm (123).

The structure in POSCAR format:
```
LiSm2Zr
1.0
5.598 0.000 0.000
0.000 5.598 0.000
0.000 0.000 3.478
Li Sm Zr
1 2 1
Cartesian
0.000 0.000 0.000 Li
0.000 2.799 1.739 Sm
2.799 0.000 1.739 Sm
2.799 2.799 0.000 Zr
```

***

Which one is most stable, and which one is least stable? arrangement one is the most stable of them, while arrangement three is the least stable.

***

Arrangement one

Material: Li2Sn3
Method: DFT, PBE-GGA
State: optimized geometry

Computed properties:
The density of states at the Fermi level comes out at 2.61 states/eV/f.u. The space group is Cmcm (63).

The structure in POSCAR format:
```
Li2Sn3
1.0
2.472 -4.288 0.000
2.472 4.288 0.000
0.000 0.000 10.925
Li Sn
4 6
Cartesian
0.000 0.000 0.000 Li
0.000 0.000 5.463 Li
2.472 1.437 8.194 Li
2.472 -1.437 2.731 Li
2.472 4.284 2.731 Sn
2.472 -4.284 8.194 Sn
2.472 1.428 1.056 Sn
2.472 1.428 4.407 Sn
2.472 -1.428 6.519 Sn
2.472 -1.428 9.870 Sn
```

***

Arrangement two

Material: Li2Sn3
Method: DFT, PBE-GGA
State: optimized geometry

Computed properties:
The density of states at the Fermi level comes out at 2.48 states/eV/f.u. The space group is R-3c (167).

The structure in POSCAR format:
```
Li2Sn3
1.0
3.188 1.841 6.760
-3.188 1.841 6.760
0.000 -3.682 6.760
Li Sn
4 6
Cartesian
0.000 0.000 3.819 Li
0.000 0.000 6.322 Li
0.000 0.000 13.959 Li
0.000 0.000 16.462 Li
-1.600 0.911 8.450 Sn
-1.589 -0.930 11.830 Sn
0.011 -1.841 8.450 Sn
-0.011 1.841 11.830 Sn
1.589 0.930 8.450 Sn
1.600 -0.911 11.830 Sn
```

***

Which one is most stable, and which one is least stable? arrangement one is the most stable of them, while arrangement two is the least stable.